Record 1
Computed, not measured: crystalline Cs2InCl7 at its relaxed geometry at the GGA-PBE level of DFT.

Cell lengths 7.915, 7.915, 7.915 Å; angles 122.84, 122.84, 85.14 degrees
Element x y z (fractional)
Cs1 0.250 0.750 0.500
Cs2 0.750 0.250 0.500
In1 0.000 0.000 0.000
Cl1 0.213 0.213 0.000
Cl2 0.241 0.241 0.482
Cl3 0.241 0.759 0.000
Cl4 0.500 0.500 0.000
Cl5 0.759 0.241 0.000
Cl6 0.759 0.759 0.518
Cl7 0.787 0.787 0.000

Values from the calculation:
The space-group type is No. 139. The value obtained for the total magnetic moment is 2.000 μB per cell.



Record 2
Computed, not measured: crystalline CsKInCl3 at its relaxed geometry at the GGA-PBE level of DFT.

Cell lengths 10.293, 10.293, 10.010 Å; angles 103.06, 103.06, 26.67 degrees
Element x y z (fractional)
Cs1 0.152 0.152 0.085
Cs2 0.848 0.848 0.915
K1 0.176 0.176 0.584
K2 0.824 0.824 0.416
In1 0.487 0.487 0.321
In2 0.513 0.513 0.679
Cl1 0.005 0.005 0.825
Cl2 0.334 0.334 0.195
Cl3 0.336 0.336 0.636
Cl4 0.664 0.664 0.364
Cl5 0.666 0.666 0.805
Cl6 0.995 0.995 0.175

Values from the calculation:
The space-group type is No. 12. The value obtained for the total magnetic moment is 0.000 μB per cell.



Record 3
Computed, not measured: crystalline Cs2KInCl4 at its relaxed geometry at the GGA-PBE level of DFT.

Cell lengths 8.254, 4.773, 8.256 Å; angles 90.00, 109.47, 90.00 degrees
Element x y z (fractional)
Cs1 0.000 0.000 0.000
Cs2 0.500 0.500 0.000
K1 0.000 0.500 0.500
In1 0.500 0.000 0.500
Cl1 0.240 0.000 0.725
Cl2 0.255 0.500 0.274
Cl3 0.745 0.500 0.726
Cl4 0.760 0.000 0.275

Values from the calculation:
The space-group type is No. 10. The value obtained for the total magnetic moment is 0.000 μB per cell.



Record 4
Computed, not measured: crystalline CsK2InCl4 at its relaxed geometry at the GGA-PBE level of DFT.

Cell lengths 8.024, 4.641, 8.093 Å; angles 90.00, 109.28, 90.00 degrees
Element x y z (fractional)
Cs1 0.000 0.000 0.000
K1 0.000 0.500 0.500
K2 0.500 0.000 0.500
In1 0.500 0.500 0.000
Cl1 0.256 0.000 0.738
Cl2 0.267 0.500 0.270
Cl3 0.733 0.500 0.730
Cl4 0.744 0.000 0.262

Values from the calculation:
The space-group type is No. 10. The value obtained for the total magnetic moment is 0.000 μB per cell.



Record 5
Computed, not measured: crystalline CsKIn2Cl8 at its relaxed geometry at the GGA-PBE level of DFT.

Cell lengths 9.690, 9.690, 9.690 Å; angles 136.45, 136.45, 63.29 degrees
Element x y z (fractional)
Cs1 0.000 0.000 0.000
K1 0.250 0.750 0.500
In1 0.500 0.500 0.000
In2 0.750 0.250 0.500
Cl1 0.285 0.658 0.109
Cl2 0.342 0.451 0.627
Cl3 0.435 0.019 0.109
Cl4 0.549 0.176 0.891
Cl5 0.674 0.565 0.584
Cl6 0.824 0.715 0.373
Cl7 0.910 0.326 0.891
Cl8 0.981 0.090 0.416

Values from the calculation:
The space-group type is No. 82. The value obtained for the total magnetic moment is 0.000 μB per cell.



Record 6
Computed, not measured: crystalline CsK3In2Cl6 at its relaxed geometry at the GGA-PBE level of DFT.

Cell lengths 10.408, 10.408, 9.270 Å; angles 103.67, 103.67, 25.53 degrees
Element x y z (fractional)
Cs1 0.000 0.000 0.000
K1 0.000 0.000 0.500
K2 0.332 0.332 0.169
K3 0.668 0.668 0.831
In1 0.329 0.329 0.667
In2 0.671 0.671 0.333
Cl1 0.173 0.173 0.586
Cl2 0.174 0.174 0.084
Cl3 0.493 0.493 0.269
Cl4 0.507 0.507 0.731
Cl5 0.826 0.826 0.916
Cl6 0.827 0.827 0.414

Values from the calculation:
The space-group type is No. 12. The value obtained for the total magnetic moment is 0.000 μB per cell.



Record 7
Computed, not measured: crystalline Cs2KInCl5 at its relaxed geometry at the GGA-PBE level of DFT.

Cell lengths 9.763, 9.763, 13.963 Å; angles 90.00, 90.00, 150.05 degrees
Element x y z (fractional)
Cs1 0.110 0.890 0.500
Cs2 0.148 0.852 0.123
Cs3 0.852 0.148 0.623
Cs4 0.890 0.110 0.000
K1 0.209 0.791 0.830
K2 0.791 0.209 0.330
In1 0.473 0.527 0.261
In2 0.527 0.473 0.761
Cl1 0.036 0.964 0.813
Cl2 0.288 0.712 0.469
Cl3 0.334 0.666 0.190
Cl4 0.379 0.621 0.810
Cl5 0.487 0.513 0.586
Cl6 0.513 0.487 0.086
Cl7 0.621 0.379 0.310
Cl8 0.666 0.334 0.690
Cl9 0.712 0.288 0.969
Cl10 0.964 0.036 0.313

Values from the calculation:
The space-group type is No. 36. The value obtained for the total magnetic moment is 0.000 μB per cell.



Record 8
Computed, not measured: crystalline Cs2KInCl6 at its relaxed geometry at the GGA-PBE level of DFT.

Cell lengths 7.877, 7.877, 7.877 Å; angles 60.00, 60.00, 60.00 degrees
Element x y z (fractional)
Cs1 0.250 0.250 0.250
Cs2 0.750 0.750 0.750
K1 0.000 0.000 0.000
In1 0.500 0.500 0.500
Cl1 0.271 0.271 0.729
Cl2 0.271 0.729 0.271
Cl3 0.271 0.729 0.729
Cl4 0.729 0.271 0.271
Cl5 0.729 0.271 0.729
Cl6 0.729 0.729 0.271

Values from the calculation:
The space-group type is No. 225. The value obtained for the total magnetic moment is 0.000 μB per cell.



Number 1: formation energy (no corrections) -1.14 eV/atom, density of states at the Fermi level 0.112 states/eV/atom. Number 2: formation energy (no corrections) -1.53 eV/atom, density of states at the Fermi level 0.000 states/eV/atom. Number 3: formation energy (no corrections) -1.66 eV/atom, density of states at the Fermi level 0.000 states/eV/atom. Number 4: formation energy (no corrections) -1.66 eV/atom, density of states at the Fermi level 0.000 states/eV/atom. Number 5: formation energy (no corrections) -1.43 eV/atom, density of states at the Fermi level 0.000 states/eV/atom. Number 6: formation energy (no corrections) -1.56 eV/atom, density of states at the Fermi level 0.000 states/eV/atom. Number 7: formation energy (no corrections) -1.63 eV/atom, density of states at the Fermi level 0.136 states/eV/atom. Number 8: formation energy (no corrections) -1.69 eV/atom, density of states at the Fermi level 0.000 states/eV/atom.